# 1
32
Lattice="7.266 -3.494 0.000 7.266 3.494 0.000 -5.584 0.000 9.450" Properties=species:S:1:pos:R:3 comment="Cd2AsO4F | the Alexandria database | PBE | optimized geometry" e_form_raw_mev_per_atom=-1453 sg="C2/c, No. 15" relative_energy_kj_per_mol_atoms=0.0 pbc="T T T"
Cd 3.660 1.818 4.802
Cd 4.186 0.724 1.427
Cd 2.496 1.818 9.373
Cd 1.394 -0.724 6.152
Cd 7.555 0.724 3.298
Cd 6.452 -1.818 0.077
Cd 4.763 -0.724 8.023
Cd 5.288 -1.818 4.648
As 0.860 0.657 2.899
As -1.932 -0.657 7.624
As 10.881 0.657 1.826
As 8.089 -0.657 6.551
O 0.434 0.261 1.280
O -2.324 0.624 8.704
O -2.358 -0.261 6.005
O 2.533 1.063 2.964
O 1.781 1.489 6.055
O 0.468 -0.624 3.979
O 4.376 1.489 8.120
O -0.259 -1.063 7.689
O 9.208 1.063 1.761
O 4.573 -1.489 1.330
O 8.480 0.624 5.471
O 7.168 -1.489 3.395
O 6.416 -1.063 6.486
O 11.307 0.261 3.445
O 11.272 -0.624 0.746
O 8.515 -0.261 8.170
F 6.482 0.602 1.051
F 5.259 0.602 3.674
F 3.690 -0.602 5.776
F 2.467 -0.602 8.399


# 2
10
Lattice="3.987 0.000 0.000 0.000 3.987 0.000 0.000 0.000 10.561" Properties=species:S:1:pos:R:3 comment="Pa2TaCo3Ge4 | the Alexandria database | PBE | optimized geometry" e_form_ev_per_atom=-0.4507 sg="P-4m2, No. 115" pbc="T T T"
Pa 0.000 1.993 2.434
Pa 1.993 0.000 8.127
Ta 0.000 0.000 5.280
Co 0.000 1.993 9.232
Co 1.993 0.000 1.328
Co 1.993 1.993 5.280
Ge 0.000 0.000 0.000
Ge 0.000 1.993 6.915
Ge 1.993 0.000 3.646
Ge 1.993 1.993 0.000